The following is a DFT calculation (GGA-PBE) of a geometry-optimized TbDy2Sn3Pd3 structure.

Unit cell a=4.007 b=13.064 c=7.537 alpha=90.00 beta=90.00 gamma=90.00
Space group Amm2 (No. 38)
Unique sites:
Tb (0.000, 0.000, 0.000) x2
Dy (0.000, 0.204, 0.611) x4
Sn (0.500, 0.000, 0.665) x2
Sn (0.500, 0.129, 0.279) x4
Pd (0.000, 0.000, 0.408) x2
Pd (0.500, 0.167, 0.908) x4

***

The following is a DFT calculation (GGA-PBE) of a geometry-optimized DySiNi2P structure.

Unit cell a=3.897 b=3.897 c=9.483 alpha=90.00 beta=90.00 gamma=90.00
Space group I4mm (No. 107)
Unique sites:
Dy (0.000, 0.000, 0.000) x2
Si (0.000, 0.000, 0.375) x2
Ni (0.000, 0.500, 0.247) x4
P (0.000, 0.000, 0.621) x2

***

The following is a DFT calculation (GGA-PBE) of a geometry-optimized MgBeZnBi structure.

Unit cell a=6.866 b=6.866 c=6.866 alpha=90.00 beta=90.00 gamma=90.00
Space group F-43m (No. 216)
Unique sites:
Mg (0.000, 0.000, 0.000) x4
Be (0.000, 0.000, 0.500) x4
Zn (0.250, 0.250, 0.750) x4
Bi (0.250, 0.250, 0.250) x4

Results
- excess energy over the best structure of this formula in the dataset (meV per atom) = 6.9

***

The following is a DFT calculation (GGA-PBE) of a geometry-optimized CoSiMoPd structure.

Unit cell a=5.988 b=5.988 c=5.988 alpha=90.00 beta=90.00 gamma=90.00
Space group F-43m (No. 216)
Unique sites:
Co (0.000, 0.000, 0.000) x4
Si (0.250, 0.250, 0.750) x4
Mo (0.000, 0.000, 0.500) x4
Pd (0.250, 0.250, 0.250) x4

Results
- excess energy over the best structure of this formula in the dataset (meV per atom) = 0.0

***

| no. | total energy (eV/atom) |
| --- | --- |
| 1 | -5.5374 |
| 2 | -6.2912 |
| 3 | -2.2409 |
| 4 | -7.1912 |